Material: Ce2Dy2Y7
Method: DFT, GGA-PBE
State: relaxed

Output
magnetic moment: 2.41 Bohr magnetons per cell
E_form: 0.207 eV per atom
uncorrected energy: -64.0 eV per cell

The structure in CIF format:
```
data_Ce2Dy2Y7
_chemical_formula_sum 'Ce2 Dy2 Y7'
_symmetry_space_group_name_H-M 'P 1'
_symmetry_Int_Tables_number 1
_cell_length_a 6.004
_cell_length_b 8.056
_cell_length_c 8.056
_cell_angle_alpha 92.75
_cell_angle_beta 74.69
_cell_angle_gamma 74.69
loop_
_symmetry_equiv_pos_as_xyz
'x,y,z'
loop_
_atom_site_label
_atom_site_type_symbol
_atom_site_fract_x
_atom_site_fract_y
_atom_site_fract_z
Y1 Y 0.176 0.589 0.066
Y2 Y 0.824 0.934 0.411
Y3 Y 0.195 0.592 0.592
Y4 Y 0.000 0.000 0.000
Y5 Y 0.824 0.411 0.934
Y6 Y 0.805 0.408 0.408
Y7 Y 0.176 0.066 0.589
Ce1 Ce 0.500 0.213 0.787
Ce2 Ce 0.500 0.787 0.213
Dy1 Dy 0.412 0.228 0.228
Dy2 Dy 0.588 0.772 0.772
```